Version 1
Material: La2EuZr
Method: DFT, PBE-GGA
State: optimized geometry

Calculated values
- density (Mg/m³) = 6.58
- SG = R-3m
- calculated volume (A^3/atom) = 32.9
- Fermi-level density of states (states/eV/cell) = 5.29

Lattice parameters (Å, degrees): 12.024 12.024 12.024 17.13 17.13 17.13
Fractional positions:
La 0.242 0.242 0.242
La 0.758 0.758 0.758
Eu 0.000 0.000 0.000
Zr 0.500 0.500 0.500

***

Version 2
Material: La2EuZr
Method: DFT, PBE-GGA
State: optimized geometry

Calculated values
- density (Mg/m³) = 6.40
- SG = P4/mmm
- calculated volume (A^3/atom) = 33.8
- Fermi-level density of states (states/eV/cell) = 5.52

Lattice parameters (Å, degrees): 4.082 4.082 8.117 90.00 90.00 90.00
Fractional positions:
La 0.000 0.000 0.210
La 0.000 0.000 0.790
Eu 0.500 0.500 0.500
Zr 0.500 0.500 0.000

***

The relative energies come out as version 1 0.000; version 2 0.030, with values in eV/atom.

***

Version 1
Material: LiEu2
Method: DFT, PBE-GGA
State: optimized geometry

Calculated values
- density (Mg/m³) = 4.21
- SG = Fd-3m
- calculated volume (A^3/atom) = 40.9
- Fermi-level density of states (states/eV/cell) = 4.57

Lattice parameters (Å, degrees): 7.027 7.027 7.027 60.00 60.00 60.00
Fractional positions:
Li 0.125 0.125 0.125
Li 0.875 0.875 0.875
Eu 0.000 0.500 0.500
Eu 0.500 0.000 0.500
Eu 0.500 0.500 0.000
Eu 0.500 0.500 0.500

***

Version 2
Material: LiEu2
Method: DFT, PBE-GGA
State: optimized geometry

Calculated values
- density (Mg/m³) = 4.81
- SG = I4/mmm
- calculated volume (A^3/atom) = 35.7
- Fermi-level density of states (states/eV/cell) = 2.38

Lattice parameters (Å, degrees): 7.357 7.357 7.357 148.69 148.69 44.87
Fractional positions:
Li 0.000 0.000 0.000
Eu 0.350 0.350 0.000
Eu 0.650 0.650 0.000

***

The relative energies come out as version 1 0.290; version 2 0.000, with values in eV/atom.